No. 1
# U3Co2Ge7 GGA-PBE optimized geometry
data_U3Co2Ge7
_space_group_name_H-M_alt 'C m m m'
_space_group_IT_number 65
_space_group_name_Hall '-C 2 2'
_cell_length_a 4.142
_cell_length_b 25.002
_cell_length_c 4.173
_cell_angle_alpha 90.00
_cell_angle_beta 90.00
_cell_angle_gamma 90.00
loop_
_atom_site_label
_atom_site_type_symbol
_atom_site_fract_x
_atom_site_fract_y
_atom_site_fract_z
U1 U 0.000 0.000 0.000
U2 U 0.000 0.314 0.500
Co1 Co 0.000 0.128 0.000
Ge1 Ge 0.000 0.088 0.500
Ge2 Ge 0.000 0.220 0.000
Ge3 Ge 0.000 0.412 0.000
Ge4 Ge 0.000 0.500 0.500
# Crystal system: orthorhombic
# Total magnetization in μB per formula unit: 6.05
# E in eV/atom: -7.019
# Volume in Å³ per atom: 18.01
# DFT formation energy in kJ per mole of atoms: -30.8

***

No. 2
# U2ZnCo4Ge3 GGA-PBE optimized geometry
data_U2ZnCo4Ge3
_space_group_name_H-M_alt 'P -4 m 2'
_space_group_IT_number 115
_cell_length_a 3.806
_cell_length_b 3.806
_cell_length_c 10.522
_cell_angle_alpha 90.00
_cell_angle_beta 90.00
_cell_angle_gamma 90.00
loop_
_space_group_symop_operation_xyz
'x,y,z'
'y,-x,-z'
'-x,-y,z'
'-y,x,-z'
'-x,y,z'
'-y,-x,-z'
'x,-y,z'
'y,x,-z'
loop_
_atom_site_label
_atom_site_type_symbol
_atom_site_fract_x
_atom_site_fract_y
_atom_site_fract_z
U1 U 0.000 0.500 0.244
Zn1 Zn 0.500 0.500 0.000
Co1 Co 0.000 0.000 0.500
Co2 Co 0.000 0.500 0.845
Co3 Co 0.500 0.500 0.500
Ge1 Ge 0.000 0.000 0.000
Ge2 Ge 0.000 0.500 0.626
# Crystal system: tetragonal
# Total magnetization in μB per formula unit: 0.34
# E in eV/atom: -6.912
# Volume in Å³ per atom: 15.24
# DFT formation energy in kJ per mole of atoms: -28.9

***

No. 3
# V6CoGe GGA-PBE optimized geometry
data_V6CoGe
_space_group_name_H-M_alt 'R -3'
_space_group_IT_number 148
_space_group_name_Hall '-R 3'
_cell_length_a 6.6554
_cell_length_b 6.6554
_cell_length_c 8.1421
_cell_angle_alpha 90.00
_cell_angle_beta 90.00
_cell_angle_gamma 120.00
loop_
_atom_site_label
_atom_site_type_symbol
_atom_site_fract_x
_atom_site_fract_y
_atom_site_fract_z
V1 V 0.0041 0.7519 0.2523
Co1 Co 0.0000 0.0000 0.5000
Ge1 Ge 0.0000 0.0000 0.0000
# Crystal system: trigonal
# Total magnetization in μB per formula unit: 0.00
# E in eV/atom: -8.535
# Volume in Å³ per atom: 13.02
# DFT formation energy in kJ per mole of atoms: -22.2

***

No. 4
# V2Co3Ge2 GGA-PBE optimized geometry
data_V2Co3Ge2
_space_group_name_H-M_alt 'I m m m'
_space_group_IT_number 71
_space_group_name_Hall '-I 2 2'
_cell_length_a 3.803
_cell_length_b 3.834
_cell_length_c 12.497
_cell_angle_alpha 90.00
_cell_angle_beta 90.00
_cell_angle_gamma 90.00
loop_
_atom_site_label
_atom_site_type_symbol
_atom_site_fract_x
_atom_site_fract_y
_atom_site_fract_z
V1 V 0.000 0.000 0.119
Co1 Co 0.000 0.500 0.232
Co2 Co 0.000 0.500 0.500
Ge1 Ge 0.000 0.000 0.382
# Crystal system: orthorhombic
# Total magnetization in μB per formula unit: 0.00
# E in eV/atom: -7.144
# Volume in Å³ per atom: 13.02
# DFT formation energy in kJ per mole of atoms: -16.8
# Relative energy among the computed polymorphs in eV per atom: 0.0000